Computed, not measured: BaCr2Te after structural relaxation at the PBE level of DFT.

Cell: 4.703 6.598 4.743 Å, 68.92 90.03 110.89°
Each line ends with the local moment (μB).
Sites, in units of the cell vectors:
Cr 0.500 0.000 0.500  4.03
Te 0.000 0.500 0.500  -0.04
Ba 0.500 0.500 0.000  0.06
Cr 0.000 0.000 0.000  4.03

* DFT total energy: -0.20276 Ha/atom
* formation energy without anion corrections: 2.2 eV/f.u.
* N(E_F): 2.36 states/eV/cell
* space group: C2/m, No. 12
* size of the total moment: 9.43 μB per formula unit